PuZrHg6 | PBE-GGA | optimized geometry

Computed properties:
The energy of formation is -0.0421 eV per atom. The energy is -3.1284 eV per atom.

Cell and atoms, written as CIF:
```
data_PuZrHg6
_chemical_formula_sum 'Pu1 Zr1 Hg6'
_symmetry_space_group_name_H-M 'P 4/m m m'
_symmetry_Int_Tables_number 123
_symmetry_space_group_name_Hall '-P 4 2'
_cell_length_a 4.5804
_cell_length_b 4.5804
_cell_length_c 9.1223
_cell_angle_alpha 90.00
_cell_angle_beta 90.00
_cell_angle_gamma 90.00
loop_
_atom_site_label
_atom_site_fract_x
_atom_site_fract_y
_atom_site_fract_z
Pu1 0.0000 0.0000 0.0000
Zr1 0.0000 0.0000 0.5000
Hg1 0.0000 0.5000 0.2619
Hg2 0.5000 0.5000 0.0000
Hg3 0.5000 0.5000 0.5000
```



PuZr2Hg | PBE-GGA | optimized geometry

Computed properties:
The energy of formation is 0.0245 eV per atom. The energy is -7.9080 eV per atom. The energy above the most stable polymorph in this dataset is 64 meV per atom.

Cell and atoms, written as CIF:
```
data_PuZr2Hg
_chemical_formula_sum 'Pu3 Zr6 Hg3'
_symmetry_space_group_name_H-M 'R -3 m'
_symmetry_Int_Tables_number 166
_symmetry_space_group_name_Hall '-R 3 2"'
_cell_length_a 3.2927
_cell_length_b 3.2927
_cell_length_c 29.8956
_cell_angle_alpha 90.00
_cell_angle_beta 90.00
_cell_angle_gamma 120.00
loop_
_atom_site_label
_atom_site_fract_x
_atom_site_fract_y
_atom_site_fract_z
Pu1 0.0000 0.0000 0.0000
Zr1 0.0000 0.0000 0.2488
Hg1 0.0000 0.0000 0.5000
```



PuZrHg2 | PBE-GGA | optimized geometry

Computed properties:
The energy of formation is -0.1348 eV per atom. The energy is -6.0057 eV per atom. The energy above the most stable polymorph in this dataset is 0 meV per atom.

Cell and atoms, written as CIF:
```
data_PuZrHg2
_chemical_formula_sum 'Pu1 Zr1 Hg2'
_symmetry_space_group_name_H-M 'P 4/m m m'
_symmetry_Int_Tables_number 123
_symmetry_space_group_name_Hall '-P 4 2'
_cell_length_a 3.1722
_cell_length_b 3.1722
_cell_length_c 9.1547
_cell_angle_alpha 90.00
_cell_angle_beta 90.00
_cell_angle_gamma 90.00
loop_
_atom_site_label
_atom_site_fract_x
_atom_site_fract_y
_atom_site_fract_z
Pu1 0.0000 0.0000 0.0000
Zr1 0.0000 0.0000 0.5000
Hg1 0.5000 0.5000 0.2659
```